VASP calculation (PBE) on a geometry-optimized Dy2TmCd3 structure.

Cell lengths 5.2658, 5.2658, 6.4680 Å; angles 90.00, 90.00, 120.00 degrees
Space group P-3m1 (No. 164)
Symmetry-distinct sites (fractional):
Dy  0.3333  0.6667  0.1712 [2 per cell]
Tm  0.0000  0.0000  0.5000 [1 per cell]
Cd  0.0000  0.0000  0.0000 [1 per cell]
Cd  0.3333  0.6667  0.6682 [2 per cell]

* Fermi-level density of states: 5.7 states/eV per cell
* crystal system: trigonal
* E_tot: -3.054 eV/atom
* volume: 25.89 A^3/atom



VASP calculation (PBE) on a geometry-optimized Pa3SbN3 structure.

Cell lengths 6.7685, 6.7685, 22.0876 Å; angles 90.00, 90.00, 120.00 degrees
Space group R-3 (No. 148, hexagonal axes)
Symmetry-distinct sites (fractional):
Pa  0.0005  0.3380  0.1032 [18 per cell]
Sb  0.0000  0.0000  0.3333 [6 per cell]
N  0.0000  0.3343  0.5384 [18 per cell]

* Fermi-level density of states: 38.8 states/eV per cell
* crystal system: trigonal
* E_tot: -9.580 eV/atom
* volume: 20.86 A^3/atom



VASP calculation (PBE) on a geometry-optimized ZrCu3Si3 structure.

Cell lengths 6.298, 6.298, 6.298 Å; angles 90.00, 90.00, 90.00 degrees
Space group Pm-3n (No. 223)
Symmetry-distinct sites (fractional):
Zr  0.000  0.000  0.000 [2 per cell]
Cu  0.000  0.250  0.500 [6 per cell]
Si  0.000  0.500  0.250 [6 per cell]

* Fermi-level density of states: 12.3 states/eV per cell
* crystal system: cubic
* E_tot: -4.852 eV/atom
* volume: 17.84 A^3/atom



VASP calculation (PBE) on a geometry-optimized Pu2ThGa2Au2 structure.

Cell lengths 4.6475, 4.6475, 25.7405 Å; angles 90.00, 90.00, 120.00 degrees
Space group R-3m (No. 166, hexagonal axes)
Symmetry-distinct sites (fractional):
Pu  0.0000  0.0000  0.1333 [6 per cell]
Th  0.0000  0.0000  0.0000 [3 per cell]
Ga  0.0000  0.0000  0.2578 [6 per cell]
Au  0.0000  0.0000  0.4028 [6 per cell]

* Fermi-level density of states: 45.3 states/eV per cell
* crystal system: trigonal
* E_tot: -7.388 eV/atom
* volume: 22.93 A^3/atom



VASP calculation (PBE) on a geometry-optimized NdHo2Al structure.

Cell lengths 4.803, 4.803, 4.784 Å; angles 90.00, 90.00, 90.00 degrees
Space group P4/mmm (No. 123)
Symmetry-distinct sites (fractional):
Nd  0.000  0.000  0.000 [1 per cell]
Ho  0.000  0.500  0.500 [2 per cell]
Al  0.500  0.500  0.000 [1 per cell]

* Fermi-level density of states: 5.4 states/eV per cell
* crystal system: tetragonal
* E_tot: -4.589 eV/atom
* volume: 27.59 A^3/atom



VASP calculation (PBE) on a geometry-optimized FeIrW2 structure.

Cell lengths 3.815, 3.815, 17.696 Å; angles 90.00, 90.00, 90.00 degrees
Space group I-42d (No. 122)
Symmetry-distinct sites (fractional):
Fe  0.000  0.000  0.000 [4 per cell]
Ir  0.000  0.000  0.500 [4 per cell]
W  0.234  0.250  0.125 [8 per cell]

* Fermi-level density of states: 17.2 states/eV per cell
* crystal system: tetragonal
* E_tot: -10.086 eV/atom
* volume: 16.10 A^3/atom



VASP calculation (PBE) on a geometry-optimized BaLiGeO4 structure.

Cell lengths 5.620, 5.620, 7.238 Å; angles 90.00, 90.00, 90.00 degrees
Space group I-4 (No. 82)
Symmetry-distinct sites (fractional):
Ba  0.000  0.000  0.000 [2 per cell]
Li  0.000  0.500  0.250 [2 per cell]
Ge  0.000  0.000  0.500 [2 per cell]
O  0.141  0.219  0.361 [8 per cell]

* Fermi-level density of states: 13.8 states/eV per cell
* crystal system: tetragonal
* E_tot: -5.954 eV/atom
* volume: 16.33 A^3/atom



VASP calculation (PBE) on a geometry-optimized ThSn5 structure.

Cell lengths 5.100, 15.135, 4.248 Å; angles 90.00, 90.00, 90.00 degrees
Space group Cmmm (No. 65)
Symmetry-distinct sites (fractional):
Th  0.000  0.000  0.000 [2 per cell]
Sn  0.000  0.179  0.500 [4 per cell]
Sn  0.000  0.344  0.000 [4 per cell]
Sn  0.000  0.500  0.500 [2 per cell]

* Fermi-level density of states: 7.8 states/eV per cell
* crystal system: orthorhombic
* E_tot: -4.787 eV/atom
* volume: 27.32 A^3/atom